# SrLa2Co3O9, relaxed, DFT PBE with a Hubbard U
data_SrLa2Co3O9
_space_group_name_H-M_alt 'P 1'
_space_group_IT_number 1
_cell_length_a 5.4659
_cell_length_b 5.4784
_cell_length_c 6.6850
_cell_angle_alpha 89.31
_cell_angle_beta 89.47
_cell_angle_gamma 60.49
loop_
_space_group_symop_operation_xyz
'x,y,z'
loop_
_atom_site_label
_atom_site_fract_x
_atom_site_fract_y
_atom_site_fract_z
Sr1 0.0000 0.0000 0.0000
La1 0.3366 0.3371 0.6726
La2 0.6657 0.6612 0.3228
Co1 0.0008 0.9992 0.4997
Co2 0.3288 0.3327 0.1647
Co3 0.6723 0.6669 0.8317
O1 0.1290 0.6510 0.3436
O2 0.1823 0.1284 0.3303
O3 0.3576 0.7912 0.6515
O4 0.4940 0.9978 0.9988
O5 0.5085 0.4952 0.0011
O6 0.6430 0.1999 0.3469
O7 0.8152 0.8750 0.6696
O8 0.8746 0.3496 0.6556
O9 0.9989 0.5095 0.0003
# Energy above the lowest structure with this stoichiometry, eV per formula unit: 0.15
# DOS(E_F), states/eV/f.u.: 1.61